5
Lattice="3.853 0.000 0.000 0.000 3.853 0.000 0.000 0.000 3.534" Properties=species:S:1:pos:R:3 comment="PBE+U NiWN2F, optimized geometry" sg="P4/mmm, No. 123" n_ef_per_ev_fu=0.70 de_polymorph_ev_per_atom=0.516 pbc="T T T"
F 0.000 0.000 1.767
W 1.926 1.926 1.767
N 0.000 1.926 0.000
N 1.926 0.000 0.000
Ni 0.000 0.000 0.000